No. 1
This record from OQMD via LeMat-Bulk describes an optimized crystal structure of InAgB2. The functional is GGA-PBE.

Geometry as POSCAR:
```
InAgB2
1.0
-4.168 0.429 1.317
-3.228 0.237 -2.969
-2.806 -3.347 -0.465
B In Ag
2 1 1
Cartesian
-2.550 -0.670 -0.529
-5.101 -1.341 -1.059
0.000 0.000 0.000
-7.651 -2.011 -1.588
```

Total energy   -12.3 eV for the cell shown
Space-group type   F-43m (216)
Density   6.77 g cm⁻³

---

No. 2
This record from OQMD via LeMat-Bulk describes an optimized crystal structure of ScPOsO. The functional is GGA-PBE.

Geometry as POSCAR:
```
ScPOsO
1.0
2.923 -2.923 0.000
2.923 2.923 0.000
0.000 0.000 6.305
Sc P O Os
2 2 2 2
Cartesian
2.923 1.461 3.153
2.923 -1.461 3.153
4.384 0.000 4.832
1.461 0.000 1.473
2.923 -1.461 0.000
2.923 1.461 0.000
1.461 0.000 5.353
4.384 0.000 0.953
```

Total energy   -56.4 eV for the cell shown
Space-group type   P4/nmm (129)
Energy above the lowest structure with this stoichiometry   1625 meV/atom
Density   8.70 g cm⁻³

---

No. 3
This record from OQMD via LeMat-Bulk describes an optimized crystal structure of ZnCoTc. The functional is GGA-PBE.

Geometry as POSCAR:
```
ZnCoTc
1.0
0.000 2.777 2.777
2.777 0.000 2.777
2.777 2.777 0.000
Zn Co Tc
1 1 1
Cartesian
4.165 4.165 4.165
0.000 0.000 0.000
1.388 1.388 1.388
```

DFT formation energy   23 kJ per mole of atoms
Total energy   -18.0 eV for the cell shown
Space-group type   F-43m (216)
Energy above the lowest structure with this stoichiometry   0 meV/atom
Density   8.62 g cm⁻³

---

No. 4
This record from OQMD via LeMat-Bulk describes an optimized crystal structure of ScTa2B. The functional is GGA-PBE.

Geometry as POSCAR:
```
ScTa2B
1.0
-1.597 -1.532 3.905
-3.280 2.222 2.109
-4.127 -1.753 0.204
B Ta Sc
1 2 1
Cartesian
-4.502 -0.531 3.109
-6.752 -0.797 4.664
0.000 0.000 0.000
-2.251 -0.266 1.555
```

Total energy   -34.7 eV for the cell shown
Space-group type   F-43m (216)
Density   10.85 g cm⁻³

---

No. 5
This record from OQMD via LeMat-Bulk describes an optimized crystal structure of CdBiAsO. The functional is GGA-PBE.

Geometry as POSCAR:
```
CdBiAsO
1.0
3.938 0.000 0.000
0.000 6.687 0.000
0.000 0.000 7.004
As Cd Bi O
2 2 2 2
Cartesian
0.000 4.993 2.403
0.000 1.694 5.905
0.000 5.893 6.755
0.000 0.794 3.253
1.969 2.928 0.459
1.969 3.759 3.961
1.969 4.863 6.171
1.969 1.823 2.669
```

Total energy   -32.6 eV for the cell shown
Space-group type   Pmc2_1 (26)
Energy above the lowest structure with this stoichiometry   31 meV/atom
Density   7.42 g cm⁻³

---

No. 6
This record from OQMD via LeMat-Bulk describes an optimized crystal structure of NpW. The functional is GGA-PBE.

Geometry as POSCAR:
```
NpW
1.0
0.000 2.747 2.747
2.747 0.000 2.747
2.747 2.747 0.000
Np W
1 1
Cartesian
0.000 0.000 0.000
2.747 2.747 2.747
```

DFT formation energy   124 kJ per mole of atoms
Total energy   -23.2 eV for the cell shown
Space-group type   Fm-3m (225)
Energy above the lowest structure with this stoichiometry   763 meV/atom
Density   16.86 g cm⁻³

---

No. 7
This record from OQMD via LeMat-Bulk describes an optimized crystal structure of Zr3Al3CuNi2. The functional is GGA-PBE.

Geometry as POSCAR:
```
Zr3Al3CuNi2
1.0
6.899 0.000 0.000
-3.449 5.974 0.000
0.000 0.000 3.551
Al Zr Ni Cu
3 3 2 1
Cartesian
5.155 0.000 0.000
0.872 1.510 0.000
-2.577 4.464 0.000
2.039 3.532 1.775
-1.410 2.442 1.775
2.820 0.000 1.775
3.449 1.991 0.000
0.000 3.983 0.000
0.000 0.000 1.775
```

Total energy   -56.7 eV for the cell shown
Space-group type   P-62m (189)
Density   6.08 g cm⁻³

---

No. 8
This record from OQMD via LeMat-Bulk describes an optimized crystal structure of ZrB4Ir. The functional is GGA-PBE.

Geometry as POSCAR:
```
ZrB4Ir
1.0
-1.696 -0.790 2.629
2.524 -1.801 -0.893
3.839 3.616 3.562
B Zr Ir
4 1 1
Cartesian
2.526 1.525 4.068
0.734 -0.163 2.405
3.933 1.188 2.894
2.141 -0.500 1.231
0.000 0.000 0.000
1.919 1.808 1.781
```

Total energy   -45.9 eV for the cell shown
Space-group type   P6/mmm (191)
Energy above the lowest structure with this stoichiometry   203 meV/atom
Density   9.45 g cm⁻³

---

No. 9
This record from OQMD via LeMat-Bulk describes an optimized crystal structure of Zr2H. The functional is GGA-PBE.

Geometry as POSCAR:
```
Zr2H
1.0
3.925 -3.854 0.000
3.925 3.854 0.000
-0.399 0.000 3.212
H Zr
2 4
Cartesian
1.894 0.000 0.742
5.557 0.000 2.470
1.963 -1.927 0.000
1.963 1.927 0.000
3.726 0.000 1.606
0.000 0.000 0.000
```

Total energy   -40.1 eV for the cell shown
Space-group type   C2/m (12)
Density   6.27 g cm⁻³

---

No. 10
This record from OQMD via LeMat-Bulk describes an optimized crystal structure of HfGaNi. The functional is GGA-PBE.

Geometry as POSCAR:
```
HfGaNi
1.0
-0.455 4.867 5.689
-6.256 -2.625 -3.199
-0.038 -2.230 1.905
Ga Ni Hf
3 3 3
Cartesian
-0.019 -1.115 0.953
-2.388 2.370 2.726
-4.322 -0.127 -0.236
-4.023 -2.795 -1.095
-0.310 2.000 4.594
-2.435 -0.308 1.849
-4.716 1.576 1.750
-0.135 1.447 1.691
-1.859 -0.780 -0.951
```

Total energy   -57.4 eV for the cell shown
Space-group type   P-62m (189)
Density   10.70 g cm⁻³

---

No. 11
This record from OQMD via LeMat-Bulk describes an optimized crystal structure of Er3SN2. The functional is GGA-PBE.

Geometry as POSCAR:
```
Er3SN2
1.0
3.517 0.000 0.000
-1.759 3.046 0.000
0.000 0.000 8.967
N Er S
2 3 1
Cartesian
1.759 1.015 7.538
0.000 2.031 1.429
0.000 2.031 6.326
0.000 0.000 0.000
1.759 1.015 2.640
0.000 0.000 4.483
```

Total energy   -45.6 eV for the cell shown
Space-group type   P-3m1 (164)
Density   9.71 g cm⁻³

---

No. 12
This record from OQMD via LeMat-Bulk describes an optimized crystal structure of BeTlNiOs. The functional is GGA-PBE.

Geometry as POSCAR:
```
BeTlNiOs
1.0
0.000 3.025 3.025
3.025 0.000 3.025
3.025 3.025 0.000
Be Os Ni Tl
1 1 1 1
Cartesian
1.513 1.513 1.513
3.025 3.025 3.025
4.538 4.538 4.538
0.000 0.000 0.000
```

Total energy   -20.5 eV for the cell shown
Space-group type   F-43m (216)
Density   13.86 g cm⁻³

---

No. 13
This record from OQMD via LeMat-Bulk describes an optimized crystal structure of Zr4CoC2S. The functional is GGA-PBE.

Geometry as POSCAR:
```
Zr4CoC2S
1.0
3.370 0.000 0.000
-1.685 2.918 0.000
0.000 0.000 12.629
Zr C Co S
4 2 1 1
Cartesian
1.685 0.973 1.897
0.000 0.000 8.157
0.000 0.000 4.472
1.685 0.973 10.732
0.000 1.946 3.217
0.000 1.946 9.413
0.000 0.000 0.000
1.685 0.973 6.315
```

Total energy   -70.5 eV for the cell shown
Space-group type   P-6m2 (187)
Density   6.42 g cm⁻³

---

No. 14
This record from OQMD via LeMat-Bulk describes an optimized crystal structure of Cs2TlCdCl6. The functional is GGA-PBE.

Geometry as POSCAR:
```
Cs2TlCdCl6
1.0
-6.939 -1.525 2.848
-2.749 -0.748 -7.097
9.342 -9.071 -2.663
Cl Tl Cs Cd
12 2 4 2
Cartesian
-2.543 -6.398 -4.763
-5.400 -4.194 -5.689
-6.016 -1.528 0.543
5.670 -9.816 -7.454
-7.053 -1.818 -3.016
-1.420 -6.084 -0.981
6.707 -9.525 -3.896
0.633 -8.359 -3.503
-0.980 -2.984 -3.408
5.054 -7.150 -1.222
1.074 -5.260 -5.931
2.197 -4.946 -2.149
-3.470 -0.762 1.424
-0.173 -5.672 -3.456
1.729 -7.973 0.013
-2.075 -3.371 -6.924
-4.211 -3.782 -1.933
3.865 -7.561 -4.979
-1.374 -0.374 -3.548
4.671 -4.536 -1.331
```

Total energy   -59.6 eV for the cell shown
Space-group type   P2_1/c (14)
Density   4.15 g cm⁻³

---

No. 15
This record from OQMD via LeMat-Bulk describes an optimized crystal structure of TbGd2Zn3InGa2. The functional is GGA-PBE.

Geometry as POSCAR:
```
TbGd2Zn3InGa2
1.0
4.408 0.000 0.000
0.000 6.139 3.548
0.000 -6.139 3.548
Gd Ga Zn Tb In
2 2 3 1 1
Cartesian
0.000 -2.708 1.567
0.000 2.708 1.567
2.204 -2.040 3.549
2.204 2.040 3.549
2.204 -4.582 2.649
2.204 4.582 2.649
2.204 0.000 1.801
0.000 0.000 3.965
0.000 0.000 7.091
```

Total energy   -31.1 eV for the cell shown
Space-group type   Amm2 (38)
Density   7.99 g cm⁻³

---

No. 16
This record from OQMD via LeMat-Bulk describes an optimized crystal structure of YNiTe2. The functional is GGA-PBE.

Geometry as POSCAR:
```
YNiTe2
1.0
4.087 0.000 0.000
-2.043 3.539 0.000
0.000 0.000 6.621
Te Y Ni
2 1 1
Cartesian
0.000 2.360 1.368
2.043 1.180 5.252
0.000 0.000 3.310
0.000 0.000 0.000
```

Total energy   -21.4 eV for the cell shown
Space-group type   P-3m1 (164)
Density   6.98 g cm⁻³

---

No. 17
This record from OQMD via LeMat-Bulk describes an optimized crystal structure of ScTaCuB. The functional is GGA-PBE.

Geometry as POSCAR:
```
ScTaCuB
1.0
-0.965 2.929 3.026
-2.427 3.429 -1.009
-4.040 0.304 1.502
Ta B Cu Sc
1 1 1 1
Cartesian
-1.858 1.666 0.880
0.000 0.000 0.000
-5.574 4.997 2.639
-3.716 3.331 1.759
```

Total energy   -25.1 eV for the cell shown
Space-group type   F-43m (216)
Energy above the lowest structure with this stoichiometry   0 meV/atom
Density   8.74 g cm⁻³

---

No. 18
This record from OQMD via LeMat-Bulk describes an optimized crystal structure of AsPdAu2. The functional is GGA-PBE.

Geometry as POSCAR:
```
AsPdAu2
1.0
-1.214 2.408 3.750
-4.105 2.111 0.160
-3.310 -1.596 2.798
Pd Au As
1 2 1
Cartesian
-2.157 0.731 1.677
0.000 0.000 0.000
-6.472 2.193 5.031
-4.315 1.462 3.354
```

Total energy   -16.3 eV for the cell shown
Space-group type   F-43m (216)
Density   13.71 g cm⁻³

---

No. 19
This record from OQMD via LeMat-Bulk describes an optimized crystal structure of KAg7F12. The functional is GGA-PBE.

Geometry as POSCAR:
```
KAg7F12
1.0
-1.998 -6.620 2.135
-4.580 4.897 2.723
-0.119 0.343 -7.228
Ag K F
7 1 12
Cartesian
-1.059 -3.139 -2.547
-3.289 -0.861 2.429
-3.348 -0.690 -1.185
-0.060 0.171 -3.614
-0.999 -3.310 1.067
-2.290 2.449 1.362
-2.350 2.620 -2.252
0.000 0.000 0.000
-4.342 0.270 -2.908
-4.987 -2.339 2.481
-2.220 -4.737 -0.094
-4.100 -2.641 -1.896
-1.483 -0.937 -2.341
-4.366 2.068 2.009
-2.597 1.261 -0.474
-1.710 0.959 -4.851
-4.477 3.357 -2.276
-5.214 -0.443 -0.029
-2.355 -1.650 0.538
-2.331 -3.448 -4.379
```

Total energy   -68.8 eV for the cell shown
Space-group type   Im-3 (204)
Density   5.82 g cm⁻³

---

No. 20
This record from OQMD via LeMat-Bulk describes an optimized crystal structure of HgBNO. The functional is GGA-PBE.

Geometry as POSCAR:
```
HgBNO
1.0
-1.315 -2.278 0.000
0.000 0.000 4.887
-5.675 3.276 0.000
N Hg B O
2 2 2 2
Cartesian
-2.375 1.371 4.025
-3.300 1.905 1.581
-1.445 -0.684 4.799
-5.544 1.682 2.355
-2.240 1.293 2.486
-3.435 1.983 0.042
-4.763 1.231 4.594
-2.227 -0.233 2.151
```

Total energy   -43.5 eV for the cell shown
Space-group type   Pmc2_1 (26)
Energy above the lowest structure with this stoichiometry   196 meV/atom
Density   9.52 g cm⁻³

---

No. 21
This record from OQMD via LeMat-Bulk describes an optimized crystal structure of TaCd2N. The functional is GGA-PBE.

Geometry as POSCAR:
```
TaCd2N
1.0
2.491 -1.649 0.000
2.491 1.649 0.000
-0.005 0.000 16.030
Ta Cd N
2 4 2
Cartesian
0.000 0.000 0.000
-0.002 0.000 8.015
2.014 0.000 5.541
2.011 0.000 2.474
2.967 0.000 13.556
2.964 0.000 10.489
0.191 0.000 4.008
4.786 0.000 12.022
```

Total energy   -37.6 eV for the cell shown
Space-group type   Cmcm (63)
Density   10.59 g cm⁻³

---

No. 22
This record from OQMD via LeMat-Bulk describes an optimized crystal structure of SrHoNb. The functional is GGA-PBE.

Geometry as POSCAR:
```
SrHoNb
1.0
0.000 3.785 3.785
3.785 0.000 3.785
3.785 3.785 0.000
Nb Ho Sr
1 1 1
Cartesian
0.000 0.000 0.000
1.893 1.893 1.893
5.678 5.678 5.678
```

Total energy   -13.0 eV for the cell shown
Space-group type   F-43m (216)
Density   5.29 g cm⁻³

---

No. 23
This record from OQMD via LeMat-Bulk describes an optimized crystal structure of La2GdAl7Ag2. The functional is GGA-PBE.

Geometry as POSCAR:
```
La2GdAl7Ag2
1.0
-4.626 -8.051 2.162
-1.491 -6.657 6.660
-6.434 -4.062 5.744
Al Ag La Gd
7 2 2 1
Cartesian
-4.051 -8.898 5.581
-8.501 -9.872 8.985
-4.975 -6.860 7.411
-6.576 -7.573 5.113
-5.975 -11.197 9.453
-7.577 -11.909 7.155
-6.276 -9.385 7.283
-4.219 -6.310 4.897
-8.332 -12.460 9.670
-1.785 -2.669 2.072
-10.766 -16.100 12.495
0.000 0.000 0.000
```

Total energy   -51.6 eV for the cell shown
Space-group type   R-3m (166)
Density   5.62 g cm⁻³

---

No. 24
This record from OQMD via LeMat-Bulk describes an optimized crystal structure of Cu2SnAu. The functional is GGA-PBE.

Geometry as POSCAR:
```
Cu2SnAu
1.0
0.683 -4.176 1.631
-2.858 -3.350 -1.078
1.347 -3.325 -2.773
Sn Au Cu
1 1 2
Cartesian
-0.414 -5.425 -1.111
-0.207 -2.713 -0.555
-0.622 -8.138 -1.666
0.000 0.000 0.000
```

Total energy   -14.5 eV for the cell shown
Space-group type   F-43m (216)
Density   11.15 g cm⁻³

---

No. 25
This record from OQMD via LeMat-Bulk describes an optimized crystal structure of Zn2SeO. The functional is GGA-PBE.

Geometry as POSCAR:
```
Zn2SeO
1.0
-3.541 0.012 0.501
1.479 -2.353 -2.251
1.201 -7.539 8.668
Zn Se O
4 2 2
Cartesian
1.191 -7.474 8.594
0.131 -3.608 1.016
0.590 -3.705 4.260
-0.942 -6.589 6.267
-1.746 -1.542 0.465
0.529 -6.100 3.881
0.989 -6.209 7.139
0.389 -2.439 2.805
```

Total energy   -28.3 eV for the cell shown
Space-group type   P6_3mc (186)
Energy above the lowest structure with this stoichiometry   100 meV/atom
Density   5.86 g cm⁻³

---

No. 26
This record from OQMD via LeMat-Bulk describes an optimized crystal structure of SrCuP. The functional is GGA-PBE.

Geometry as POSCAR:
```
SrCuP
1.0
-3.546 -0.460 2.064
0.640 -2.099 -3.497
3.433 -6.401 4.471
Sr Cu P
2 2 2
Cartesian
0.000 0.000 0.000
1.717 -3.201 2.235
1.820 -6.354 1.710
-1.292 -2.607 1.328
0.103 -3.153 -0.526
0.424 -5.807 3.564
```

Total energy   -26.6 eV for the cell shown
Space-group type   P6_3/mmc (194)
Density   4.80 g cm⁻³